# 1
Density functional theory data (PBE) for a relaxed ErCo4Sn12 crystal.

Unit cell a=7.974 b=7.974 c=7.974 alpha=109.47 beta=109.47 gamma=109.47
Sites, in units of the cell vectors:
Er: 0.000 0.000 0.000
Co: 0.000 0.000 0.500
Co: 0.000 0.500 0.000
Co: 0.500 0.000 0.000
Co: 0.500 0.500 0.500
Sn: 0.159 0.327 0.831
Sn: 0.169 0.496 0.327
Sn: 0.169 0.841 0.673
Sn: 0.327 0.169 0.496
Sn: 0.327 0.831 0.159
Sn: 0.496 0.327 0.169
Sn: 0.504 0.673 0.831
Sn: 0.673 0.169 0.841
Sn: 0.673 0.831 0.504
Sn: 0.831 0.159 0.327
Sn: 0.831 0.504 0.673
Sn: 0.841 0.673 0.169

Space-group type = No. 204
Magnetic moment = 0.01 μB per formula unit
E_form = -6.85 kJ per mole of atoms
Fermi-level density of states = 1.0233 states/eV/atom



# 2
Density functional theory data (PBE) for a relaxed Pm3Ho2Tm7 crystal.

Unit cell a=5.761 b=3.537 c=18.627 alpha=90.00 beta=93.09 gamma=90.00
Sites, in units of the cell vectors:
Pm: 0.000 0.000 0.000
Pm: 0.277 0.500 0.633
Pm: 0.723 0.500 0.367
Ho: 0.211 0.000 0.292
Ho: 0.789 0.000 0.708
Tm: 0.191 0.500 0.143
Tm: 0.243 0.000 0.462
Tm: 0.306 0.000 0.825
Tm: 0.500 0.500 0.000
Tm: 0.694 0.000 0.175
Tm: 0.757 0.000 0.538
Tm: 0.809 0.500 0.857

Space-group type = No. 10
Magnetic moment = 0.00 μB per formula unit
E_form = 8.73 kJ per mole of atoms
Fermi-level density of states = 1.2166 states/eV/atom



# 3
Density functional theory data (PBE) for a relaxed Ba2TiHPt crystal.

Unit cell a=6.210 b=6.210 c=4.608 alpha=90.00 beta=90.00 gamma=90.00
Sites, in units of the cell vectors:
Ba: 0.000 0.500 0.000
Ba: 0.500 0.000 0.000
Ti: 0.000 0.000 0.000
H: 0.500 0.500 0.500
Pt: 0.000 0.000 0.500

Space-group type = No. 123
E_tot = -19.3 eV/cell
Magnetic moment = 1.56 μB per formula unit
Fermi-level density of states = 1.0303 states/eV/atom



# 4
Density functional theory data (PBE) for a relaxed Be3SiW2 crystal.

Unit cell a=4.506 b=4.506 c=4.597 alpha=119.44 beta=119.44 gamma=59.94
Sites, in units of the cell vectors:
Be: 0.000 0.000 0.000
Be: 0.000 0.500 0.000
Be: 0.500 0.000 0.000
Si: 0.000 0.000 0.500
W: 0.376 0.376 0.631
W: 0.624 0.624 0.369

Space-group type = No. 12
Uncorrected formation energy = -0.272 eV per atom
Magnetic moment = 0.00 μB per formula unit
Fermi-level density of states = 0.3636 states/eV/atom



# 5
Density functional theory data (PBE) for a relaxed Mn2VW crystal.

Unit cell a=5.332 b=5.332 c=5.332 alpha=103.60 beta=103.60 gamma=121.98
Sites, in units of the cell vectors:
Mn: 0.113 0.625 0.988
Mn: 0.375 0.363 0.488
Mn: 0.637 0.125 0.012
Mn: 0.875 0.887 0.512
V: 0.000 0.000 0.000
V: 0.750 0.250 0.500
W: 0.250 0.750 0.500
W: 0.500 0.500 0.000

Space-group type = No. 122
Magnetic moment = 2.93 μB per formula unit
E_form = 58.53 kJ per mole of atoms
Fermi-level density of states = 1.0444 states/eV/atom



# 6
Density functional theory data (PBE) for a relaxed KVSe2 crystal.

Unit cell a=10.863 b=10.863 c=5.783 alpha=90.00 beta=90.00 gamma=161.71
Sites, in units of the cell vectors:
K: 0.060 0.940 0.750
K: 0.940 0.060 0.250
V: 0.319 0.681 0.750
V: 0.681 0.319 0.250
Se: 0.097 0.903 0.250
Se: 0.206 0.794 0.750
Se: 0.794 0.206 0.250
Se: 0.903 0.097 0.750

Space-group type = No. 63
Uncorrected formation energy = -0.390 eV per atom
Magnetic moment = 2.22 μB per formula unit
Fermi-level density of states = 0.9520 states/eV/atom



# 7
Density functional theory data (PBE) for a relaxed BeRe2Hg crystal.

Unit cell a=4.407 b=4.407 c=4.407 alpha=60.00 beta=60.00 gamma=60.00
Sites, in units of the cell vectors:
Be: 0.000 0.000 0.000
Re: 0.250 0.250 0.250
Re: 0.500 0.500 0.500
Hg: 0.750 0.750 0.750

Space-group type = No. 216
Relative energy among the computed polymorphs = 1.751 eV per formula unit
Magnetic moment = 0.00 μB per formula unit
E_form = 66.10 kJ per mole of atoms
Fermi-level density of states = 0.2894 states/eV/atom



# 8
Density functional theory data (PBE) for a relaxed RbBi2SbIr crystal.

Unit cell a=5.993 b=5.993 c=4.913 alpha=90.00 beta=90.00 gamma=90.00
Sites, in units of the cell vectors:
Rb: 0.000 0.000 0.000
Bi: 0.000 0.500 0.000
Bi: 0.500 0.000 0.000
Sb: 0.500 0.500 0.500
Ir: 0.000 0.000 0.500

Space-group type = No. 123
Uncorrected formation energy = 1.903 eV per atom
Magnetic moment = 0.00 μB per formula unit
Fermi-level density of states = 1.2139 states/eV/atom



# 9
Density functional theory data (PBE) for a relaxed Sr3Tc crystal.

Unit cell a=5.997 b=5.997 c=5.997 alpha=126.40 beta=126.40 gamma=79.23
Sites, in units of the cell vectors:
Sr: 0.000 0.000 0.000
Sr: 0.250 0.750 0.500
Sr: 0.750 0.250 0.500
Tc: 0.500 0.500 0.000

Space-group type = No. 139
Magnetic moment = 1.20 μB per formula unit
E_form = 74.06 kJ per mole of atoms
Fermi-level density of states = 1.3642 states/eV/atom



# 10
Density functional theory data (PBE) for a relaxed TaPtAu3 crystal.

Unit cell a=5.039 b=5.039 c=5.039 alpha=90.00 beta=90.00 gamma=90.00
Sites, in units of the cell vectors:
Ta: 0.000 0.000 0.000
Pt: 0.500 0.500 0.500
Au: 0.000 0.000 0.500
Au: 0.000 0.500 0.000
Au: 0.500 0.000 0.000

Space-group type = No. 221
Relative energy among the computed polymorphs = 0.167 eV per formula unit
Magnetic moment = 0.00 μB per formula unit
E_form = 137.05 kJ per mole of atoms
Fermi-level density of states = 0.8745 states/eV/atom



# 11
Density functional theory data (PBE) for a relaxed Sb2BrF15 crystal.

Unit cell a=5.448 b=14.603 c=14.641 alpha=90.00 beta=95.15 gamma=90.00
Sites, in units of the cell vectors:
Sb: 0.089 0.144 0.156
Sb: 0.089 0.356 0.656
Sb: 0.387 0.144 0.815
Sb: 0.387 0.356 0.315
Sb: 0.613 0.644 0.685
Sb: 0.613 0.856 0.185
Sb: 0.911 0.644 0.344
Sb: 0.911 0.856 0.844
Br: 0.262 0.653 0.016
Br: 0.262 0.847 0.516
Br: 0.738 0.153 0.484
Br: 0.738 0.347 0.984
F: 0.011 0.141 0.424
F: 0.011 0.359 0.924
F: 0.058 0.546 0.412
F: 0.058 0.954 0.912
F: 0.085 0.735 0.429
F: 0.085 0.765 0.929
F: 0.109 0.167 0.879
F: 0.109 0.333 0.379
F: 0.124 0.578 0.934
F: 0.124 0.922 0.434
F: 0.176 0.660 0.271
F: 0.176 0.840 0.771
F: 0.222 0.054 0.739
F: 0.222 0.446 0.239
F: 0.228 0.238 0.720
F: 0.228 0.262 0.220
F: 0.274 0.076 0.248
F: 0.274 0.424 0.748
F: 0.346 0.647 0.760
F: 0.346 0.853 0.260
F: 0.358 0.157 0.084
F: 0.358 0.343 0.584
F: 0.390 0.564 0.084
F: 0.390 0.936 0.584
F: 0.452 0.567 0.596
F: 0.452 0.933 0.096
F: 0.466 0.149 0.546
F: 0.466 0.351 0.046
F: 0.467 0.745 0.124
F: 0.467 0.755 0.624
F: 0.533 0.245 0.376
F: 0.533 0.255 0.876
F: 0.534 0.649 0.954
F: 0.534 0.851 0.454
F: 0.548 0.067 0.904
F: 0.548 0.433 0.404
F: 0.610 0.064 0.416
F: 0.610 0.436 0.916
F: 0.642 0.657 0.416
F: 0.642 0.843 0.916
F: 0.654 0.147 0.740
F: 0.654 0.353 0.240
F: 0.726 0.576 0.252
F: 0.726 0.924 0.752
F: 0.772 0.738 0.780
F: 0.772 0.762 0.280
F: 0.778 0.554 0.761
F: 0.778 0.946 0.261
F: 0.824 0.160 0.229
F: 0.824 0.340 0.729
F: 0.876 0.078 0.566
F: 0.876 0.422 0.066
F: 0.891 0.667 0.621
F: 0.891 0.833 0.121
F: 0.915 0.235 0.071
F: 0.915 0.265 0.571
F: 0.942 0.046 0.088
F: 0.942 0.454 0.588
F: 0.989 0.641 0.076
F: 0.989 0.859 0.576

Space-group type = No. 14
Uncorrected formation energy = -1.814 eV per atom
Magnetic moment = 0.24 μB per formula unit
Fermi-level density of states = 0.0000 states/eV/atom



# 12
Density functional theory data (PBE) for a relaxed C3S4 crystal.

Unit cell a=9.426 b=9.849 c=14.456 alpha=90.00 beta=103.74 gamma=90.00
Sites, in units of the cell vectors:
C: 0.024 0.070 0.096
C: 0.024 0.430 0.596
C: 0.070 0.140 0.026
C: 0.070 0.360 0.526
C: 0.136 0.229 0.547
C: 0.136 0.271 0.047
C: 0.396 0.655 0.646
C: 0.396 0.845 0.146
C: 0.432 0.641 0.486
C: 0.432 0.859 0.986
C: 0.446 0.582 0.575
C: 0.446 0.918 0.075
C: 0.554 0.082 0.925
C: 0.554 0.418 0.425
C: 0.568 0.141 0.014
C: 0.568 0.359 0.514
C: 0.604 0.155 0.854
C: 0.604 0.345 0.354
C: 0.864 0.729 0.953
C: 0.864 0.771 0.453
C: 0.930 0.640 0.474
C: 0.930 0.860 0.974
C: 0.976 0.570 0.404
C: 0.976 0.930 0.904
S: 0.053 0.147 0.206
S: 0.053 0.353 0.706
S: 0.060 0.089 0.907
S: 0.060 0.411 0.407
S: 0.149 0.181 0.665
S: 0.149 0.319 0.165
S: 0.196 0.130 0.472
S: 0.196 0.370 0.972
S: 0.324 0.687 0.109
S: 0.324 0.813 0.609
S: 0.353 0.698 0.971
S: 0.353 0.802 0.471
S: 0.403 0.600 0.756
S: 0.403 0.900 0.256
S: 0.481 0.579 0.385
S: 0.481 0.921 0.885
S: 0.519 0.079 0.115
S: 0.519 0.421 0.615
S: 0.597 0.100 0.744
S: 0.597 0.400 0.244
S: 0.647 0.198 0.529
S: 0.647 0.302 0.029
S: 0.676 0.187 0.391
S: 0.676 0.313 0.891
S: 0.804 0.630 0.028
S: 0.804 0.870 0.528
S: 0.851 0.681 0.835
S: 0.851 0.819 0.335
S: 0.940 0.589 0.593
S: 0.940 0.911 0.093
S: 0.947 0.647 0.294
S: 0.947 0.853 0.794

Space-group type = No. 14
Uncorrected formation energy = 0.297 eV per atom
Magnetic moment = 0.00 μB per formula unit



# 13
Density functional theory data (PBE) for a relaxed CeSmAu crystal.

Unit cell a=4.561 b=4.192 c=8.470 alpha=90.00 beta=90.48 gamma=90.00
Sites, in units of the cell vectors:
Ce: 0.192 0.250 0.481
Ce: 0.808 0.750 0.519
Sm: 0.258 0.750 0.862
Sm: 0.742 0.250 0.138
Au: 0.262 0.750 0.217
Au: 0.738 0.250 0.783

Space-group type = No. 11
Relative energy among the computed polymorphs = 0.000 eV per formula unit
Magnetic moment = 0.00 μB per formula unit
E_form = -46.10 kJ per mole of atoms
Fermi-level density of states = 1.8761 states/eV/atom



# 14
Density functional theory data (PBE) for a relaxed LaPm3Au4 crystal.

Unit cell a=9.084 b=9.084 c=9.084 alpha=155.66 beta=133.24 gamma=53.40
Sites, in units of the cell vectors:
La: 0.000 0.000 0.000
Pm: 0.207 0.707 0.500
Pm: 0.500 0.500 0.000
Pm: 0.793 0.293 0.500
Au: 0.168 0.870 0.298
Au: 0.428 0.130 0.298
Au: 0.572 0.870 0.702
Au: 0.832 0.130 0.702

Space-group type = No. 71
Relative energy among the computed polymorphs = 1.201 eV per formula unit
Magnetic moment = 0.00 μB per formula unit
E_form = -60.28 kJ per mole of atoms
Fermi-level density of states = 1.0751 states/eV/atom